DyAlGe | PBE | optimized geometry

Properties
**Energy**: -4.90 eV/atom
**Volume**: 20.414 Å³/atom
**M_tot**: 0.000 μB per formula unit
**Symmetry**: P-62m

Cell and atoms, written as POSCAR:
```
DyAlGe
1.0
7.1453 0.0000 0.0000
-3.5727 6.1880 0.0000
0.0000 0.0000 4.1551
Al Dy Ge
3 3 3
direct
0.2571 0.2571 0.0000 Al
0.0000 0.7429 0.0000 Al
0.7429 0.0000 0.0000 Al
0.0000 0.3900 0.5000 Dy
0.6100 0.6100 0.5000 Dy
0.3900 0.0000 0.5000 Dy
0.6667 0.3333 0.0000 Ge
0.0000 0.0000 0.5000 Ge
0.3333 0.6667 0.0000 Ge
```